Computed, not measured: crystalline La4IrPbI2 at its relaxed geometry at the PBE-GGA level of DFT.

Geometry as CIF:
```
data_La4IrPbI2
_cell_length_a 8.0311
_cell_length_b 4.4197
_cell_length_c 8.3768
_cell_angle_alpha 90.00
_cell_angle_beta 107.17
_cell_angle_gamma 90.00
_symmetry_space_group_name_H-M 'P 1 2/m 1'
_symmetry_Int_Tables_number 10
loop_
_symmetry_equiv_pos_as_xyz
'x,y,z'
'-x,-y,-z'
'-x,y,-z'
'x,-y,z'
loop_
_atom_site_label
_atom_site_fract_x
_atom_site_fract_y
_atom_site_fract_z
La1 0.2097 0.0000 0.1947
La2 0.2267 0.5000 0.8015
Ir1 0.0000 0.5000 0.0000
Pb1 0.5000 0.0000 0.0000
I1 0.0000 0.0000 0.5000
I2 0.5000 0.5000 0.5000
```

Results
Uncorrected formation energy = -0.943 eV per atom



Computed, not measured: crystalline La8Ir3PdI3 at its relaxed geometry at the PBE-GGA level of DFT.

Geometry as CIF:
```
data_La8Ir3PdI3
_cell_length_a 8.5264
_cell_length_b 8.5556
_cell_length_c 9.5344
_cell_angle_alpha 63.37
_cell_angle_beta 63.45
_cell_angle_gamma 60.12
_symmetry_space_group_name_H-M 'P -1'
_symmetry_Int_Tables_number 2
loop_
_symmetry_equiv_pos_as_xyz
'x,y,z'
'-x,-y,-z'
loop_
_atom_site_label
_atom_site_fract_x
_atom_site_fract_y
_atom_site_fract_z
La1 0.2192 0.2338 0.3122
La2 0.2286 0.7290 0.3118
La3 0.2662 0.2809 0.6881
La4 0.2657 0.7653 0.6882
Ir1 0.0000 0.0000 0.5000
Ir2 0.0000 0.5000 0.5000
Ir3 0.5000 0.5000 0.5000
Pd1 0.5000 0.0000 0.5000
I1 0.0000 0.0000 0.0000
I2 0.5000 0.0000 0.0000
I3 0.5000 0.5000 0.0000
```

Results
Uncorrected formation energy = -0.970 eV per atom



Computed, not measured: crystalline La6Ir2PdI3 at its relaxed geometry at the PBE-GGA level of DFT.

Geometry as CIF:
```
data_La6Ir2PdI3
_cell_length_a 7.4185
_cell_length_b 12.8482
_cell_length_c 8.6240
_cell_angle_alpha 90.00
_cell_angle_beta 106.66
_cell_angle_gamma 90.00
_symmetry_space_group_name_H-M 'C 1 2/m 1'
_symmetry_Int_Tables_number 12
loop_
_symmetry_equiv_pos_as_xyz
'x,y,z'
'-x,-y,-z'
'-x,y,-z'
'x,-y,z'
'x+1/2,y+1/2,z'
'-x+1/2,-y+1/2,-z'
'-x+1/2,y+1/2,-z'
'x+1/2,-y+1/2,z'
loop_
_atom_site_label
_atom_site_fract_x
_atom_site_fract_y
_atom_site_fract_z
La1 0.2181 0.0000 0.1867
La2 0.2344 0.3279 0.1870
Ir1 0.0000 0.1667 0.0000
Pd1 0.0000 0.5000 0.0000
I1 0.0000 0.0000 0.5000
I2 0.0000 0.3339 0.5000
```

Results
Uncorrected formation energy = -1.075 eV per atom



Computed, not measured: crystalline La2PmIr2I2 at its relaxed geometry at the PBE-GGA level of DFT.

Geometry as CIF:
```
data_La2PmIr2I2
_cell_length_a 5.2969
_cell_length_b 5.2969
_cell_length_c 16.7389
_cell_angle_alpha 90.00
_cell_angle_beta 90.00
_cell_angle_gamma 90.00
_symmetry_space_group_name_H-M 'I 4/m m m'
_symmetry_Int_Tables_number 139
_symmetry_space_group_name_Hall '-I 4 2'
loop_
_atom_site_label
_atom_site_fract_x
_atom_site_fract_y
_atom_site_fract_z
La1 0.0000 0.0000 0.1028
Pm1 0.0000 0.0000 0.5000
Ir1 0.0000 0.5000 0.0000
I1 0.0000 0.0000 0.3058
```

Results
Uncorrected formation energy = -0.689 eV per atom



Computed, not measured: crystalline LaPmIrI at its relaxed geometry at the PBE-GGA level of DFT.

Geometry as CIF:
```
data_LaPmIrI
_cell_length_a 4.2174
_cell_length_b 4.2174
_cell_length_c 24.6822
_cell_angle_alpha 90.00
_cell_angle_beta 90.00
_cell_angle_gamma 120.00
_symmetry_space_group_name_H-M 'R 3 m'
_symmetry_Int_Tables_number 160
_symmetry_space_group_name_Hall 'R 3 -2"'
loop_
_atom_site_label
_atom_site_fract_x
_atom_site_fract_y
_atom_site_fract_z
La1 0.0000 0.0000 0.0000
Pm1 0.0000 0.0000 0.7885
Ir1 0.0000 0.0000 0.3945
I1 0.0000 0.0000 0.2233
```

Results
Uncorrected formation energy = -1.022 eV per atom



Computed, not measured: crystalline La2PrIr2I2 at its relaxed geometry at the PBE-GGA level of DFT.

Geometry as CIF:
```
data_La2PrIr2I2
_cell_length_a 5.3522
_cell_length_b 5.3522
_cell_length_c 16.7348
_cell_angle_alpha 90.00
_cell_angle_beta 90.00
_cell_angle_gamma 90.00
_symmetry_space_group_name_H-M 'I 4/m m m'
_symmetry_Int_Tables_number 139
_symmetry_space_group_name_Hall '-I 4 2'
loop_
_atom_site_label
_atom_site_fract_x
_atom_site_fract_y
_atom_site_fract_z
La1 0.0000 0.0000 0.1024
Pr1 0.0000 0.0000 0.5000
Ir1 0.0000 0.5000 0.0000
I1 0.0000 0.0000 0.3037
```

Results
Uncorrected formation energy = -0.648 eV per atom



Computed, not measured: crystalline La6Ir2Pt3I at its relaxed geometry at the PBE-GGA level of DFT.

Geometry as CIF:
```
data_La6Ir2Pt3I
_cell_length_a 18.5277
_cell_length_b 4.2336
_cell_length_c 8.8468
_cell_angle_alpha 90.00
_cell_angle_beta 101.58
_cell_angle_gamma 90.00
_symmetry_space_group_name_H-M 'C 1 2/m 1'
_symmetry_Int_Tables_number 12
loop_
_symmetry_equiv_pos_as_xyz
'x,y,z'
'-x,-y,-z'
'-x,y,-z'
'x,-y,z'
'x+1/2,y+1/2,z'
'-x+1/2,-y+1/2,-z'
'-x+1/2,y+1/2,-z'
'x+1/2,-y+1/2,z'
loop_
_atom_site_label
_atom_site_fract_x
_atom_site_fract_y
_atom_site_fract_z
La1 0.0139 0.0000 0.2865
La2 0.1689 0.5000 0.5802
La3 0.1837 0.5000 0.1097
Ir1 0.1688 0.0000 0.3355
Pt1 0.0000 0.5000 0.5000
Pt2 0.1570 0.0000 0.8376
I1 0.0000 0.5000 0.0000
```

Results
Uncorrected formation energy = -0.979 eV per atom



Computed, not measured: crystalline La6Ir2PtI3 at its relaxed geometry at the PBE-GGA level of DFT.

Geometry as CIF:
```
data_La6Ir2PtI3
_cell_length_a 7.4151
_cell_length_b 12.8435
_cell_length_c 8.6036
_cell_angle_alpha 90.00
_cell_angle_beta 106.70
_cell_angle_gamma 90.00
_symmetry_space_group_name_H-M 'C 1 2/m 1'
_symmetry_Int_Tables_number 12
loop_
_symmetry_equiv_pos_as_xyz
'x,y,z'
'-x,-y,-z'
'-x,y,-z'
'x,-y,z'
'x+1/2,y+1/2,z'
'-x+1/2,-y+1/2,-z'
'-x+1/2,y+1/2,-z'
'x+1/2,-y+1/2,z'
loop_
_atom_site_label
_atom_site_fract_x
_atom_site_fract_y
_atom_site_fract_z
La1 0.2212 0.0000 0.1859
La2 0.2325 0.3296 0.1861
Ir1 0.0000 0.1667 0.0000
Pt1 0.0000 0.5000 0.0000
I1 0.0000 0.0000 0.5000
I2 0.0000 0.3336 0.5000
```

Results
Uncorrected formation energy = -1.155 eV per atom



Computed, not measured: crystalline La6IrPt2I3 at its relaxed geometry at the PBE-GGA level of DFT.

Geometry as CIF:
```
data_La6IrPt2I3
_cell_length_a 7.4600
_cell_length_b 12.9258
_cell_length_c 8.6018
_cell_angle_alpha 90.00
_cell_angle_beta 106.81
_cell_angle_gamma 90.00
_symmetry_space_group_name_H-M 'C 1 2/m 1'
_symmetry_Int_Tables_number 12
loop_
_symmetry_equiv_pos_as_xyz
'x,y,z'
'-x,-y,-z'
'-x,y,-z'
'x,-y,z'
'x+1/2,y+1/2,z'
'-x+1/2,-y+1/2,-z'
'-x+1/2,y+1/2,-z'
'x+1/2,-y+1/2,z'
loop_
_atom_site_label
_atom_site_fract_x
_atom_site_fract_y
_atom_site_fract_z
La1 0.2254 0.1630 0.1870
La2 0.2368 0.5000 0.1873
Ir1 0.0000 0.0000 0.0000
Pt1 0.0000 0.3334 0.0000
I1 0.0000 0.1670 0.5000
I2 0.0000 0.5000 0.5000
```

Results
Uncorrected formation energy = -1.192 eV per atom



Computed, not measured: crystalline La8IrRh3I3 at its relaxed geometry at the PBE-GGA level of DFT.

Geometry as CIF:
```
data_La8IrRh3I3
_cell_length_a 14.6730
_cell_length_b 8.4673
_cell_length_c 9.5908
_cell_angle_alpha 90.00
_cell_angle_beta 120.59
_cell_angle_gamma 90.00
_symmetry_space_group_name_H-M 'C 1 2/m 1'
_symmetry_Int_Tables_number 12
loop_
_symmetry_equiv_pos_as_xyz
'x,y,z'
'-x,-y,-z'
'-x,y,-z'
'x,-y,z'
'x+1/2,y+1/2,z'
'-x+1/2,-y+1/2,-z'
'-x+1/2,y+1/2,-z'
'x+1/2,-y+1/2,z'
loop_
_atom_site_label
_atom_site_fract_x
_atom_site_fract_y
_atom_site_fract_z
La1 0.0207 0.2488 0.3146
La2 0.2276 0.0000 0.6852
La3 0.2293 0.5000 0.6862
Ir1 0.0000 0.0000 0.5000
Rh1 0.0000 0.5000 0.5000
Rh2 0.2500 0.2500 0.5000
I1 0.0000 0.0000 0.0000
I2 0.2500 0.2500 0.0000
```

Results
Uncorrected formation energy = -0.942 eV per atom



Computed, not measured: crystalline La4IrRhI2 at its relaxed geometry at the PBE-GGA level of DFT.

Geometry as CIF:
```
data_La4IrRhI2
_cell_length_a 7.3597
_cell_length_b 4.2445
_cell_length_c 8.6237
_cell_angle_alpha 90.00
_cell_angle_beta 106.48
_cell_angle_gamma 90.00
_symmetry_space_group_name_H-M 'P 1 2/m 1'
_symmetry_Int_Tables_number 10
loop_
_symmetry_equiv_pos_as_xyz
'x,y,z'
'-x,-y,-z'
'-x,y,-z'
'x,-y,z'
loop_
_atom_site_label
_atom_site_fract_x
_atom_site_fract_y
_atom_site_fract_z
La1 0.2262 0.0000 0.1855
La2 0.2706 0.5000 0.8143
Ir1 0.0000 0.5000 0.0000
Rh1 0.5000 0.0000 0.0000
I1 0.0000 0.0000 0.5000
I2 0.5000 0.5000 0.5000
```

Results
Uncorrected formation energy = -1.083 eV per atom



Computed, not measured: crystalline La6IrRh2I3 at its relaxed geometry at the PBE-GGA level of DFT.

Geometry as CIF:
```
data_La6IrRh2I3
_cell_length_a 7.3519
_cell_length_b 12.7337
_cell_length_c 8.6299
_cell_angle_alpha 90.00
_cell_angle_beta 106.49
_cell_angle_gamma 90.00
_symmetry_space_group_name_H-M 'C 1 2/m 1'
_symmetry_Int_Tables_number 12
loop_
_symmetry_equiv_pos_as_xyz
'x,y,z'
'-x,-y,-z'
'-x,y,-z'
'x,-y,z'
'x+1/2,y+1/2,z'
'-x+1/2,-y+1/2,-z'
'-x+1/2,y+1/2,-z'
'x+1/2,-y+1/2,z'
loop_
_atom_site_label
_atom_site_fract_x
_atom_site_fract_y
_atom_site_fract_z
La1 0.2278 0.1659 0.1855
La2 0.2299 0.5000 0.1855
Ir1 0.0000 0.0000 0.0000
Rh1 0.0000 0.3334 0.0000
I1 0.0000 0.1668 0.5000
I2 0.0000 0.5000 0.5000
```

Results
Uncorrected formation energy = -1.074 eV per atom



| no. | total magnetization (μB per cell) |
| --- | --- |
| 1 | 0.0 |
| 2 | 0.5 |
| 3 | 0.0 |
| 4 | 0.0 |
| 5 | 0.0 |
| 6 | 0.0 |
| 7 | 0.0 |
| 8 | 0.0 |
| 9 | 0.0 |
| 10 | 1.4 |
| 11 | 0.0 |
| 12 | 0.0 |